# 1
! InCoAg2 SCAN single point on PBEsol structure; values from VASP
! DOS at the Fermi energy, states/eV per cell: 1.40
! Total DFT energy (no corrections), eV/atom: -28.1560
! E_form, kJ per mole of atoms: 19
! Symmetry: P2/m, No. 10
&SYSTEM
  ibrav = 0, nat = 4, ntyp = 3
/
ATOMIC_SPECIES
Co 58.93 Co.upf
Ag 107.87 Ag.upf
In 114.82 In.upf
CELL_PARAMETERS angstrom
2.8501 0.0000 0.0444
0.0000 4.7613 0.0000
-0.3268 0.0000 4.7627
ATOMIC_POSITIONS angstrom
Co 1.4251 2.3807 0.0222
Ag 1.8644 0.0000 3.6481
Ag 0.6590 0.0000 1.1590
In -0.1634 2.3807 2.3813

# 2
! YHg2Rh SCAN single point on PBEsol structure; values from VASP
! DOS at the Fermi energy, states/eV per cell: 1.84
! Total DFT energy (no corrections), eV/atom: -49.8960
! E_form, kJ per mole of atoms: -40
! Symmetry: P4mm, No. 99
&SYSTEM
  ibrav = 0, nat = 4, ntyp = 3
/
ATOMIC_SPECIES
Hg 200.59 Hg.upf
Rh 102.91 Rh.upf
Y 88.91 Y.upf
CELL_PARAMETERS angstrom
3.4714 0.0000 0.0000
0.0000 3.4714 0.0000
0.0000 0.0000 6.7007
ATOMIC_POSITIONS angstrom
Hg 0.0000 0.0000 0.0955
Hg 1.7357 1.7357 1.7986
Rh 0.0000 0.0000 3.3369
Y 1.7357 1.7357 4.8201